1.
LaNdSi2Mo2N | PBE | optimized geometry

Structure (CIF):
```
data_LaNdSi2Mo2N
_chemical_formula_sum 'La2 Nd2 Si4 Mo4 N2'
_space_group_name_H-M_alt 'C 1 m 1'
_space_group_IT_number 8
_space_group_name_Hall 'C -2y'
_cell_length_a 11.3772
_cell_length_b 3.8711
_cell_length_c 7.4056
_cell_angle_alpha 90.00
_cell_angle_beta 126.61
_cell_angle_gamma 90.00
loop_
_atom_site_label
_atom_site_fract_x
_atom_site_fract_y
_atom_site_fract_z
La1 0.0000 0.0000 0.0000
Nd1 0.1492 0.0000 0.5995
Si1 0.2115 0.5000 0.9764
Si2 0.4380 0.0000 0.6211
Mo1 0.2761 0.5000 0.3775
Mo2 0.3743 0.0000 0.2231
N1 0.0761 0.5000 0.3040
```

Calculated values
Mass density in Mg/m³: 6.9
Uncorrected energy in eV/f.u.: -55.78
Magnetic moment in μB/f.u.: 0.00

***

2.
La3Mo2W3N12 | PBE | optimized geometry

Structure (CIF):
```
data_La3Mo2W3N12
_chemical_formula_sum 'La24 Mo16 W24 N96'
_space_group_name_H-M_alt 'I a -3 d'
_space_group_IT_number 230
_space_group_name_Hall '-I 4bd 2c 3'
_cell_length_a 13.0670
_cell_length_b 13.0670
_cell_length_c 13.0670
_cell_angle_alpha 90.00
_cell_angle_beta 90.00
_cell_angle_gamma 90.00
loop_
_atom_site_label
_atom_site_fract_x
_atom_site_fract_y
_atom_site_fract_z
La1 0.0000 0.2500 0.1250
Mo1 0.0000 0.0000 0.0000
W1 0.0000 0.2500 0.3750
N1 0.0342 0.0464 0.6484
```

Calculated values
Mass density in Mg/m³: 7.9
Uncorrected energy in eV/f.u.: -190.66
Magnetic moment in μB/f.u.: 2.99

***

3.
NaLaMoOs | PBE | optimized geometry

Structure (CIF):
```
data_NaLaMoOs
_chemical_formula_sum 'Na4 La4 Mo4 Os4'
_space_group_name_H-M_alt 'F -4 3 m'
_space_group_IT_number 216
_space_group_name_Hall 'F -4 2 3'
_cell_length_a 6.7493
_cell_length_b 6.7493
_cell_length_c 6.7493
_cell_angle_alpha 90.00
_cell_angle_beta 90.00
_cell_angle_gamma 90.00
loop_
_atom_site_label
_atom_site_fract_x
_atom_site_fract_y
_atom_site_fract_z
Na1 0.0000 0.0000 0.0000
La1 0.2500 0.2500 0.7500
Mo1 0.0000 0.0000 0.5000
Os1 0.2500 0.2500 0.2500
```

Calculated values
Mass density in Mg/m³: 9.7
Magnetic moment in μB/f.u.: 0.00
Distance to the lowest polymorph of the same formula in meV/atom: 0.0

***

4.
NaLaMoOs | PBE | optimized geometry

Structure (CIF):
```
data_NaLaMoOs
_chemical_formula_sum 'Na4 La4 Mo4 Os4'
_space_group_name_H-M_alt 'F -4 3 m'
_space_group_IT_number 216
_space_group_name_Hall 'F -4 2 3'
_cell_length_a 6.8746
_cell_length_b 6.8746
_cell_length_c 6.8746
_cell_angle_alpha 90.00
_cell_angle_beta 90.00
_cell_angle_gamma 90.00
loop_
_atom_site_label
_atom_site_fract_x
_atom_site_fract_y
_atom_site_fract_z
Na1 0.0000 0.0000 0.0000
La1 0.0000 0.0000 0.5000
Mo1 0.2500 0.2500 0.7500
Os1 0.2500 0.2500 0.2500
```

Calculated values
Mass density in Mg/m³: 9.2
Magnetic moment in μB/f.u.: 2.72
Distance to the lowest polymorph of the same formula in meV/atom: 377.2

***

5.
NaLaMoOs | PBE | optimized geometry

Structure (CIF):
```
data_NaLaMoOs
_chemical_formula_sum 'Na4 La4 Mo4 Os4'
_space_group_name_H-M_alt 'F -4 3 m'
_space_group_IT_number 216
_space_group_name_Hall 'F -4 2 3'
_cell_length_a 6.8303
_cell_length_b 6.8303
_cell_length_c 6.8303
_cell_angle_alpha 90.00
_cell_angle_beta 90.00
_cell_angle_gamma 90.00
loop_
_atom_site_label
_atom_site_fract_x
_atom_site_fract_y
_atom_site_fract_z
Na1 0.0000 0.0000 0.0000
La1 0.2500 0.2500 0.2500
Mo1 0.2500 0.2500 0.7500
Os1 0.0000 0.0000 0.5000
```

Calculated values
Mass density in Mg/m³: 9.3
Magnetic moment in μB/f.u.: 0.55
Distance to the lowest polymorph of the same formula in meV/atom: 5.4

***

6.
LaNdMo | PBE | optimized geometry

Structure (CIF):
```
data_LaNdMo
_chemical_formula_sum 'La4 Nd4 Mo4'
_space_group_name_H-M_alt 'F -4 3 m'
_space_group_IT_number 216
_space_group_name_Hall 'F -4 2 3'
_cell_length_a 7.0058
_cell_length_b 7.0058
_cell_length_c 7.0058
_cell_angle_alpha 90.00
_cell_angle_beta 90.00
_cell_angle_gamma 90.00
loop_
_atom_site_label
_atom_site_fract_x
_atom_site_fract_y
_atom_site_fract_z
La1 0.0000 0.0000 0.0000
Nd1 0.2500 0.2500 0.2500
Mo1 0.0000 0.0000 0.5000
```

Calculated values
Mass density in Mg/m³: 7.3
Magnetic moment in μB/f.u.: 0.23
ΔE_f in eV/atom: 1.153

***

7.
LaNpMo | PBE | optimized geometry

Structure (CIF):
```
data_LaNpMo
_chemical_formula_sum 'La4 Np4 Mo4'
_space_group_name_H-M_alt 'F -4 3 m'
_space_group_IT_number 216
_space_group_name_Hall 'F -4 2 3'
_cell_length_a 6.7466
_cell_length_b 6.7466
_cell_length_c 6.7466
_cell_angle_alpha 90.00
_cell_angle_beta 90.00
_cell_angle_gamma 90.00
loop_
_atom_site_label
_atom_site_fract_x
_atom_site_fract_y
_atom_site_fract_z
La1 0.0000 0.0000 0.0000
Np1 0.0000 0.0000 0.5000
Mo1 0.2500 0.2500 0.2500
```

Calculated values
Mass density in Mg/m³: 10.2
Magnetic moment in μB/f.u.: 3.71
ΔE_f in eV/atom: 0.830

***

8.
LaMoPt | PBE | optimized geometry

Structure (CIF):
```
data_LaMoPt
_chemical_formula_sum 'La4 Mo4 Pt4'
_space_group_name_H-M_alt 'F -4 3 m'
_space_group_IT_number 216
_space_group_name_Hall 'F -4 2 3'
_cell_length_a 6.7416
_cell_length_b 6.7416
_cell_length_c 6.7416
_cell_angle_alpha 90.00
_cell_angle_beta 90.00
_cell_angle_gamma 90.00
loop_
_atom_site_label
_atom_site_fract_x
_atom_site_fract_y
_atom_site_fract_z
La1 0.0000 0.0000 0.0000
Mo1 0.0000 0.0000 0.5000
Pt1 0.2500 0.2500 0.2500
```

Calculated values
Mass density in Mg/m³: 9.3
Magnetic moment in μB/f.u.: 3.49
ΔE_f in eV/atom: 0.284
Distance to the lowest polymorph of the same formula in meV/atom: 0.0

***

9.
LaPuMo | PBE | optimized geometry

Structure (CIF):
```
data_LaPuMo
_chemical_formula_sum 'La4 Pu4 Mo4'
_space_group_name_H-M_alt 'F -4 3 m'
_space_group_IT_number 216
_space_group_name_Hall 'F -4 2 3'
_cell_length_a 6.7224
_cell_length_b 6.7224
_cell_length_c 6.7224
_cell_angle_alpha 90.00
_cell_angle_beta 90.00
_cell_angle_gamma 90.00
loop_
_atom_site_label
_atom_site_fract_x
_atom_site_fract_y
_atom_site_fract_z
La1 0.0000 0.0000 0.0000
Pu1 0.2500 0.2500 0.2500
Mo1 0.0000 0.0000 0.5000
```

Calculated values
Mass density in Mg/m³: 10.5
Magnetic moment in μB/f.u.: 0.15
ΔE_f in eV/atom: 1.490

***

10.
La2Si3Mo2 | PBE | optimized geometry

Structure (CIF):
```
data_La2Si3Mo2
_chemical_formula_sum 'La4 Si6 Mo4'
_space_group_name_H-M_alt 'C 1 2/m 1'
_space_group_IT_number 12
_space_group_name_Hall '-C 2y'
_cell_length_a 13.7363
_cell_length_b 3.8623
_cell_length_c 6.7299
_cell_angle_alpha 90.00
_cell_angle_beta 114.97
_cell_angle_gamma 90.00
loop_
_atom_site_label
_atom_site_fract_x
_atom_site_fract_y
_atom_site_fract_z
La1 0.1009 0.0000 0.2882
Si1 0.0000 0.5000 0.5000
Si2 0.2425 0.0000 0.7561
Mo1 0.1575 0.5000 0.8420
```

Calculated values
Mass density in Mg/m³: 5.7
Uncorrected energy in eV/f.u.: -49.07
Magnetic moment in μB/f.u.: 0.01

***

11.
LaSnMo | PBE | optimized geometry

Structure (CIF):
```
data_LaSnMo
_chemical_formula_sum 'La4 Sn4 Mo4'
_space_group_name_H-M_alt 'F -4 3 m'
_space_group_IT_number 216
_space_group_name_Hall 'F -4 2 3'
_cell_length_a 6.7712
_cell_length_b 6.7712
_cell_length_c 6.7712
_cell_angle_alpha 90.00
_cell_angle_beta 90.00
_cell_angle_gamma 90.00
loop_
_atom_site_label
_atom_site_fract_x
_atom_site_fract_y
_atom_site_fract_z
La1 0.0000 0.0000 0.0000
Sn1 0.0000 0.0000 0.5000
Mo1 0.2500 0.2500 0.2500
```

Calculated values
Mass density in Mg/m³: 7.6
Magnetic moment in μB/f.u.: 0.67
Distance to the lowest polymorph of the same formula in meV/atom: 0.0

***

12.
LaSnMo | PBE | optimized geometry

Structure (CIF):
```
data_LaSnMo
_chemical_formula_sum 'La4 Sn4 Mo4'
_space_group_name_H-M_alt 'F -4 3 m'
_space_group_IT_number 216
_space_group_name_Hall 'F -4 2 3'
_cell_length_a 7.2584
_cell_length_b 7.2584
_cell_length_c 7.2584
_cell_angle_alpha 90.00
_cell_angle_beta 90.00
_cell_angle_gamma 90.00
loop_
_atom_site_label
_atom_site_fract_x
_atom_site_fract_y
_atom_site_fract_z
La1 0.0000 0.0000 0.0000
Sn1 0.2500 0.2500 0.2500
Mo1 0.2500 0.2500 0.7500
```

Calculated values
Mass density in Mg/m³: 6.1
Magnetic moment in μB/f.u.: 3.94
Distance to the lowest polymorph of the same formula in meV/atom: 713.0

***

13.
LaTcMo | PBE | optimized geometry

Structure (CIF):
```
data_LaTcMo
_chemical_formula_sum 'La4 Tc4 Mo4'
_space_group_name_H-M_alt 'F -4 3 m'
_space_group_IT_number 216
_space_group_name_Hall 'F -4 2 3'
_cell_length_a 6.4576
_cell_length_b 6.4576
_cell_length_c 6.4576
_cell_angle_alpha 90.00
_cell_angle_beta 90.00
_cell_angle_gamma 90.00
loop_
_atom_site_label
_atom_site_fract_x
_atom_site_fract_y
_atom_site_fract_z
La1 0.0000 0.0000 0.0000
Tc1 0.2500 0.2500 0.2500
Mo1 0.0000 0.0000 0.5000
```

Calculated values
Mass density in Mg/m³: 8.2
Magnetic moment in μB/f.u.: 0.01
ΔE_f in eV/atom: 0.647
Distance to the lowest polymorph of the same formula in meV/atom: 0.0

***

14.
LaThMo | PBE | optimized geometry

Structure (CIF):
```
data_LaThMo
_chemical_formula_sum 'La4 Th4 Mo4'
_space_group_name_H-M_alt 'F -4 3 m'
_space_group_IT_number 216
_space_group_name_Hall 'F -4 2 3'
_cell_length_a 7.0570
_cell_length_b 7.0570
_cell_length_c 7.0570
_cell_angle_alpha 90.00
_cell_angle_beta 90.00
_cell_angle_gamma 90.00
loop_
_atom_site_label
_atom_site_fract_x
_atom_site_fract_y
_atom_site_fract_z
La1 0.0000 0.0000 0.0000
Th1 0.2500 0.2500 0.2500
Mo1 0.0000 0.0000 0.5000
```

Calculated values
Mass density in Mg/m³: 8.8
Magnetic moment in μB/f.u.: 0.83
ΔE_f in eV/atom: 1.070

***

15.
LaUMo | PBE | optimized geometry

Structure (CIF):
```
data_LaUMo
_chemical_formula_sum 'La4 U4 Mo4'
_space_group_name_H-M_alt 'F -4 3 m'
_space_group_IT_number 216
_space_group_name_Hall 'F -4 2 3'
_cell_length_a 6.8209
_cell_length_b 6.8209
_cell_length_c 6.8209
_cell_angle_alpha 90.00
_cell_angle_beta 90.00
_cell_angle_gamma 90.00
loop_
_atom_site_label
_atom_site_fract_x
_atom_site_fract_y
_atom_site_fract_z
La1 0.0000 0.0000 0.0000
U1 0.0000 0.0000 0.5000
Mo1 0.2500 0.2500 0.2500
```

Calculated values
Mass density in Mg/m³: 9.9
Magnetic moment in μB/f.u.: 2.36
ΔE_f in eV/atom: 0.840
Distance to the lowest polymorph of the same formula in meV/atom: 0.0

***

16.
LaMoW | PBE | optimized geometry

Structure (CIF):
```
data_LaMoW
_chemical_formula_sum 'La4 Mo4 W4'
_space_group_name_H-M_alt 'F -4 3 m'
_space_group_IT_number 216
_space_group_name_Hall 'F -4 2 3'
_cell_length_a 6.3809
_cell_length_b 6.3809
_cell_length_c 6.3809
_cell_angle_alpha 90.00
_cell_angle_beta 90.00
_cell_angle_gamma 90.00
loop_
_atom_site_label
_atom_site_fract_x
_atom_site_fract_y
_atom_site_fract_z
La1 0.0000 0.0000 0.0000
Mo1 0.2500 0.2500 0.7500
W1 0.2500 0.2500 0.2500
```

Calculated values
Mass density in Mg/m³: 10.7
Magnetic moment in μB/f.u.: 0.24
ΔE_f in eV/atom: 2.025

***

17.
LaZnMo2 | PBE | optimized geometry

Structure (CIF):
```
data_LaZnMo2
_chemical_formula_sum 'La4 Zn4 Mo8'
_space_group_name_H-M_alt 'F -4 3 m'
_space_group_IT_number 216
_space_group_name_Hall 'F -4 2 3'
_cell_length_a 6.7488
_cell_length_b 6.7488
_cell_length_c 6.7488
_cell_angle_alpha 90.00
_cell_angle_beta 90.00
_cell_angle_gamma 90.00
loop_
_atom_site_label
_atom_site_fract_x
_atom_site_fract_y
_atom_site_fract_z
La1 0.0000 0.0000 0.0000
Zn1 0.2500 0.2500 0.7500
Mo1 0.0000 0.0000 0.5000
Mo2 0.2500 0.2500 0.2500
```

Calculated values
Mass density in Mg/m³: 8.6
Magnetic moment in μB/f.u.: 0.71
ΔE_f in eV/atom: 0.454

***

18.
LaNb2N4 | PBE | optimized geometry

Structure (CIF):
```
data_LaNb2N4
_chemical_formula_sum 'La4 Nb8 N16'
_space_group_name_H-M_alt 'C m c m'
_space_group_IT_number 63
_space_group_name_Hall '-C 2c 2'
_cell_length_a 3.2070
_cell_length_b 10.3804
_cell_length_c 10.5634
_cell_angle_alpha 90.00
_cell_angle_beta 90.00
_cell_angle_gamma 90.00
loop_
_atom_site_label
_atom_site_fract_x
_atom_site_fract_y
_atom_site_fract_z
La1 0.0000 0.1148 0.2500
Nb1 0.0000 0.3704 0.0639
N1 0.0000 0.0000 0.0000
N2 0.0000 0.2657 0.6084
N3 0.0000 0.4281 0.2500
```

Calculated values
Mass density in Mg/m³: 7.2
Uncorrected energy in eV/f.u.: -66.13
Magnetic moment in μB/f.u.: 0.00

***

19.
LaNbN2O | PBE | optimized geometry

Structure (CIF):
```
data_LaNbN2O
_chemical_formula_sum 'La2 Nb2 N4 O2'
_space_group_name_H-M_alt 'P 1'
_space_group_IT_number 1
_space_group_name_Hall 'P 1'
_cell_length_a 5.6030
_cell_length_b 5.6477
_cell_length_c 6.0850
_cell_angle_alpha 62.47
_cell_angle_beta 89.02
_cell_angle_gamma 60.56
loop_
_atom_site_label
_atom_site_fract_x
_atom_site_fract_y
_atom_site_fract_z
La1 0.0000 0.0000 0.0000
La2 0.2652 0.4844 0.7714
Nb1 0.4986 0.0400 0.4432
Nb2 0.7737 0.4811 0.3284
N1 0.0873 0.4724 0.1681
N2 0.4634 0.9156 0.1359
N3 0.6406 0.1817 0.6146
N4 0.8201 0.5773 0.6106
O1 0.2301 0.9684 0.6419
O2 0.6565 0.2909 0.1495
```

Calculated values
Mass density in Mg/m³: 6.4
Uncorrected energy in eV/f.u.: -45.06
Magnetic moment in μB/f.u.: 0.00

***

20.
LaNbN2O | PBE | optimized geometry

Structure (CIF):
```
data_LaNbN2O
_chemical_formula_sum 'La6 Nb6 N12 O6'
_space_group_name_H-M_alt 'P 63/m m c'
_space_group_IT_number 194
_space_group_name_Hall '-P 6c 2c'
_cell_length_a 5.7883
_cell_length_b 5.7883
_cell_length_c 14.2920
_cell_angle_alpha 90.00
_cell_angle_beta 90.00
_cell_angle_gamma 120.00
loop_
_atom_site_label
_atom_site_fract_x
_atom_site_fract_y
_atom_site_fract_z
La1 0.0000 0.0000 0.2500
La2 0.3333 0.6667 0.1128
Nb1 0.0000 0.0000 0.0000
Nb2 0.3333 0.6667 0.6455
N1 0.1606 0.3212 0.5889
O1 0.0064 0.5032 0.2500
```

Calculated values
Mass density in Mg/m³: 6.6
Uncorrected energy in eV/f.u.: -45.02
Magnetic moment in μB/f.u.: 0.00